This record from the Alexandria database describes an optimized crystal structure of YTi3Sn. The functional is PBE.

Results
Distance to the lowest polymorph of the same formula in meV per atom: 545
Energy of formation in eV/atom: 1.282
Density in g/cm³: 5.06

Unit cell a=4.8670 b=4.8670 c=4.8670 alpha=90.00 beta=90.00 gamma=90.00
Last column: nearest neighbours and their distance in Å.
Space group Pm-3m (No. 221)
Symmetry-distinct sites (fractional):
1 Y 0.0000 0.0000 0.0000 x1  6 Ti 2.43
2 Ti 0.0000 0.0000 0.5000 x3  2 Y 2.43
3 Sn 0.5000 0.5000 0.5000 x1  12 Ti 3.44

This record from the Alexandria database describes an optimized crystal structure of Pm8IrPt3Br4. The functional is PBE.

Results
ΔE_f (raw) in eV/atom: -1.22
Density in g/cm³: 8.00

Unit cell a=14.4968 b=8.3716 c=9.1092 alpha=90.00 beta=122.09 gamma=90.00
Last column: nearest neighbours and their distance in Å.
Space group C2/m (No. 12)
Symmetry-distinct sites (fractional):
1 Pm 0.0161 0.2455 0.3033 x8  1 Ir 2.82, 2 Pt 2.87
2 Pm 0.2294 0.0000 0.6967 x4  1 Ir 2.82, 2 Pt 2.87
3 Pm 0.2323 0.5000 0.6966 x4  3 Pt 2.85
4 Ir 0.0000 0.0000 0.5000 x2  6 Pm 2.82
5 Pt 0.0000 0.5000 0.5000 x2  6 Pm 2.85-2.87
6 Pt 0.2500 0.2500 0.5000 x4  6 Pm 2.85-2.87
7 Br 0.0000 0.0000 0.0000 x2  6 Pm 3.35-3.36
8 Br 0.0000 0.5000 0.0000 x2  6 Pm 3.39-3.40
9 Br 0.2500 0.2500 0.0000 x4  6 Pm 3.35-3.37

This record from the Alexandria database describes an optimized crystal structure of LiRhW2. The functional is PBE.

Results
Distance to the lowest polymorph of the same formula in meV per atom: 243
Energy of formation in eV/atom: 0.368
Density in g/cm³: 13.21

Unit cell a=2.7224 b=2.7224 c=8.0976 alpha=90.00 beta=90.00 gamma=90.00
Last column: nearest neighbours and their distance in Å.
Space group P4/mmm (No. 123)
Symmetry-distinct sites (fractional):
1 Li 0.0000 0.0000 0.0000 x1  4 Li 2.72, 8 W 2.82
2 Rh 0.0000 0.0000 0.5000 x1  4 Rh 2.72, 8 W 2.77
3 W 0.5000 0.5000 0.2546 x2  4 W 2.72, 4 Rh 2.77, 4 Li 2.82

This record from the Alexandria database describes an optimized crystal structure of Zr2AsBr. The functional is PBE.

Results
ΔE_f (raw) in eV/atom: -0.70
Density in g/cm³: 7.01

Unit cell a=3.3872 b=3.3872 c=6.9623 alpha=90.00 beta=90.00 gamma=90.00
Last column: nearest neighbours and their distance in Å.
Space group P4/mmm (No. 123)
Symmetry-distinct sites (fractional):
1 Zr 0.0000 0.0000 0.2208 x2  4 As 2.85, 1 Zr 3.07, 4 Br 3.08
2 As 0.5000 0.5000 0.0000 x1  8 Zr 2.85
3 Br 0.5000 0.5000 0.5000 x1  8 Zr 3.08, 4 Br 3.39

This record from the Alexandria database describes an optimized crystal structure of Be2FeSnAu. The functional is PBE.

Results
Energy of formation in eV/atom: 1.303
Density in g/cm³: 6.31

Unit cell a=4.3482 b=4.3482 c=5.4223 alpha=90.00 beta=90.00 gamma=90.00
Last column: nearest neighbours and their distance in Å.
Space group P4/mmm (No. 123)
Symmetry-distinct sites (fractional):
1 Be 0.0000 0.5000 0.0000 x2  2 Sn 2.17
2 Fe 0.0000 0.0000 0.5000 x1  4 Au 3.07
3 Sn 0.5000 0.5000 0.0000 x1  4 Be 2.17
4 Au 0.5000 0.5000 0.5000 x1  2 Sn 2.71

This record from the Alexandria database describes an optimized crystal structure of CsBiS3. The functional is PBE.

Results
ΔE_f (raw) in eV/atom: 1.15
Distance to the lowest polymorph of the same formula in meV per atom: 1357
Density in g/cm³: 4.50

Unit cell a=5.4494 b=5.4494 c=5.4494 alpha=90.00 beta=90.00 gamma=90.00
Last column: nearest neighbours and their distance in Å.
Space group Pm-3m (No. 221)
Symmetry-distinct sites (fractional):
1 Cs 0.0000 0.0000 0.0000 x1  6 S 2.72
2 Bi 0.5000 0.5000 0.5000 x1  12 S 3.85
3 S 0.0000 0.0000 0.5000 x3  2 Cs 2.72

This record from the Alexandria database describes an optimized crystal structure of Re2NiPt. The functional is PBE.

Results
Distance to the lowest polymorph of the same formula in meV per atom: 67
Energy of formation in eV/atom: 0.021
Density in g/cm³: 18.26

Unit cell a=2.6966 b=3.9110 c=5.4004 alpha=90.00 beta=90.00 gamma=90.00
Last column: nearest neighbours and their distance in Å.
Space group Pmmm (No. 47)
Symmetry-distinct sites (fractional):
1 Re 0.0000 0.0000 0.2229 x2  1 Re 2.41, 4 Ni 2.66
2 Ni 0.5000 0.5000 0.0000 x1  8 Re 2.66, 2 Ni 2.70, 2 Pt 2.70
3 Pt 0.5000 0.5000 0.5000 x1  2 Pt 2.70, 2 Ni 2.70, 8 Re 2.81

This record from the Alexandria database describes an optimized crystal structure of NbZn2N. The functional is PBE.

Results
ΔE_f (raw) in eV/atom: 0.17
Density in g/cm³: 7.10

Unit cell a=7.1916 b=7.1916 c=4.2988 alpha=90.00 beta=90.00 gamma=90.00
Last column: nearest neighbours and their distance in Å.
Space group I-42d (No. 122)
Symmetry-distinct sites (fractional):
1 Nb 0.0000 0.0000 0.0000 x4  2 N 2.15
2 Zn 0.1730 0.2500 0.6250 x8  2 N 2.25, 2 Zn 2.42
3 N 0.0000 0.0000 0.5000 x4  2 Nb 2.15, 4 Zn 2.25

This record from the Alexandria database describes an optimized crystal structure of CrAg2Te. The functional is PBE.

Results
ΔE_f (raw) in eV/atom: 0.31
Density in g/cm³: 8.14

Unit cell a=6.8572 b=6.8572 c=6.8572 alpha=90.00 beta=90.00 gamma=90.00
Last column: nearest neighbours and their distance in Å.
Space group F-43m (No. 216)
Symmetry-distinct sites (fractional):
1 Cr 0.0000 0.0000 0.0000 x4  4 Ag 2.97, 4 Te 2.97
2 Ag 0.0000 0.0000 0.5000 x4  4 Te 2.97, 4 Ag 2.97
3 Ag 0.2500 0.2500 0.7500 x4  4 Cr 2.97, 4 Ag 2.97
4 Te 0.2500 0.2500 0.2500 x4  4 Cr 2.97, 4 Ag 2.97

This record from the Alexandria database describes an optimized crystal structure of BaPF2. The functional is PBE.

Results
ΔE_f (raw) in eV/atom: -1.70
Distance to the lowest polymorph of the same formula in meV per atom: 367
Density in g/cm³: 3.98

Unit cell a=4.6495 b=4.6495 c=15.9444 alpha=90.00 beta=90.00 gamma=90.00
Last column: nearest neighbours and their distance in Å.
Space group I-42d (No. 122)
Symmetry-distinct sites (fractional):
1 Ba 0.0000 0.0000 0.0000 x4  4 F 2.69
2 P 0.0000 0.0000 0.5000 x4  4 F 2.49
3 F 0.2038 0.2500 0.6250 x8  2 P 2.49, 2 Ba 2.69

This record from the Alexandria database describes an optimized crystal structure of NaMnCoS3. The functional is PBE.

Results
ΔE_f (raw) in eV/atom: -0.66
Density in g/cm³: 3.72

Unit cell a=7.4861 b=3.4572 c=8.5976 alpha=90.00 beta=110.71 gamma=90.00
Last column: nearest neighbours and their distance in Å.
Space group P2_1/m (No. 11)
Symmetry-distinct sites (fractional):
1 Na 0.2379 0.2500 0.2607 x2  7 S 2.85-3.17
2 Mn 0.3079 0.7500 0.8361 x2  6 S 2.34-2.42
3 Co 0.0846 0.2500 0.6091 x2  4 S 2.16-2.27
4 S 0.1079 0.2500 0.8669 x2  1 Co 2.16, 2 Mn 2.36
5 S 0.2304 0.7500 0.5477 x2  3 Co 2.21-2.27, 1 Mn 2.34
6 S 0.4592 0.7500 0.1357 x2  3 Mn 2.41-2.42

This record from the Alexandria database describes an optimized crystal structure of ZnNCl2. The functional is PBE.

Results
ΔE_f (raw) in eV/atom: 0.96
Distance to the lowest polymorph of the same formula in meV per atom: 494
Density in g/cm³: 3.62

Unit cell a=6.5092 b=6.5092 c=6.5092 alpha=90.00 beta=90.00 gamma=90.00
Last column: nearest neighbours and their distance in Å.
Space group Fm-3m (No. 225)
Symmetry-distinct sites (fractional):
1 Zn 0.0000 0.0000 0.0000 x4  8 Cl 2.82
2 N 0.0000 0.0000 0.5000 x4  8 Cl 2.82
3 Cl 0.2500 0.2500 0.2500 x8  4 Zn 2.82, 4 N 2.82

This record from the Alexandria database describes an optimized crystal structure of CrReH2S. The functional is PBE.

Results
Energy in eV/atom: -6.24
Density in g/cm³: 7.96

Unit cell a=3.4907 b=3.4907 c=4.6637 alpha=90.00 beta=90.00 gamma=90.00
Last column: nearest neighbours and their distance in Å.
Space group P4/mmm (No. 123)
Symmetry-distinct sites (fractional):
1 Cr 0.0000 0.0000 0.0000 x1  4 S 2.47
2 Re 0.5000 0.5000 0.5000 x1  4 H 1.75
3 H 0.0000 0.5000 0.5000 x2  2 Re 1.75
4 S 0.5000 0.5000 0.0000 x1  2 Re 2.33, 4 Cr 2.47

This record from the Alexandria database describes an optimized crystal structure of Ce8ZnRu2. The functional is PBE.

Results
Energy of formation in eV/atom: 0.001
Density in g/cm³: 7.91

Unit cell a=12.5062 b=8.5718 c=5.7173 alpha=90.00 beta=107.89 gamma=90.00
Last column: nearest neighbours and their distance in Å.
Space group C2/m (No. 12)
Symmetry-distinct sites (fractional):
1 Ce 0.0804 0.0000 0.2825 x4  2 Ce 2.77, 1 Ru 3.08
2 Ce 0.1014 0.1991 0.7915 x8  1 Ce 2.77, 1 Ru 2.84
3 Ce 0.1590 0.5000 0.2418 x4  1 Ru 2.38
4 Zn 0.0000 0.5000 0.5000 x2  2 Ru 2.73, 2 Ce 2.82
5 Ru 0.2019 0.5000 0.8634 x4  1 Ce 2.38

This record from the Alexandria database describes an optimized crystal structure of ReRuAu2. The functional is PBE.

Results
Distance to the lowest polymorph of the same formula in meV per atom: 467
Energy of formation in eV/atom: 0.627
Density in g/cm³: 17.23

Unit cell a=2.8475 b=4.7005 c=9.8073 alpha=90.00 beta=90.00 gamma=90.00
Last column: nearest neighbours and their distance in Å.
Space group Cmmm (No. 65)
Symmetry-distinct sites (fractional):
1 Re 0.0000 0.0000 0.0000 x2  6 Re 2.75-2.85, 4 Au 2.85
2 Ru 0.0000 0.0000 0.5000 x2  6 Ru 2.75-2.85, 4 Au 2.82
3 Au 0.0000 0.5000 0.2521 x4  6 Au 2.75-2.85, 2 Ru 2.82, 2 Re 2.85

This record from the Alexandria database describes an optimized crystal structure of Ce2YZn2Hg2. The functional is PBE.

Results
Energy of formation in eV/atom: -0.270
Density in g/cm³: 9.26

Unit cell a=4.5547 b=4.5547 c=26.9706 alpha=90.00 beta=90.00 gamma=120.00
Last column: nearest neighbours and their distance in Å.
Space group R-3m (No. 166, hexagonal axes)
Symmetry-distinct sites (fractional):
1 Ce 0.0000 0.0000 0.1420 x6  3 Ce 2.95, 3 Zn 3.16
2 Y 0.0000 0.0000 0.0000 x3  6 Hg 3.18, 6 Zn 3.35
3 Zn 0.0000 0.0000 0.4101 x6  3 Hg 2.64
4 Hg 0.0000 0.0000 0.2670 x6  3 Zn 2.64

This record from the Alexandria database describes an optimized crystal structure of TlFe2Pt. The functional is PBE.

Results
Distance to the lowest polymorph of the same formula in meV per atom: 102
Energy of formation in eV/atom: 0.291
Density in g/cm³: 13.41

Unit cell a=5.6110 b=7.8016 c=2.8910 alpha=90.00 beta=90.21 gamma=90.00
Last column: nearest neighbours and their distance in Å.
Space group C2/m (No. 12)
Symmetry-distinct sites (fractional):
1 Tl 0.0000 0.0000 0.0000 x2  8 Fe 2.80-2.81, 2 Pt 2.81, 2 Tl 2.89
2 Fe 0.2500 0.2500 0.5000 x4  4 Tl 2.80-2.81, 4 Pt 2.80-2.81, 4 Fe 2.81-2.89
3 Pt 0.0000 0.5000 0.0000 x2  8 Fe 2.80-2.81, 2 Tl 2.81, 2 Pt 2.89

This record from the Alexandria database describes an optimized crystal structure of InPS. The functional is PBE.

Results
ΔE_f (raw) in eV/atom: -0.20
Density in g/cm³: 3.78

Unit cell a=8.3002 b=6.9719 c=6.2566 alpha=90.00 beta=120.44 gamma=90.00
Last column: nearest neighbours and their distance in Å.
Space group Cm (No. 8)
Symmetry-distinct sites (fractional):
1 In 0.0000 0.2010 0.0000 x4  1 P 2.57, 2 S 2.65-2.67, 1 In 2.80
2 P 0.3501 0.0000 0.7304 x2  1 P 2.21
3 P 0.4925 0.0000 0.5128 x2  2 S 2.15, 1 P 2.21
4 S 0.3626 0.2554 0.3014 x4  1 P 2.15

This record from the Alexandria database describes an optimized crystal structure of K2MgGe. The functional is PBE.

Results
Energy of formation in eV/atom: 0.064
Density in g/cm³: 1.35

Unit cell a=13.1119 b=13.1119 c=5.0133 alpha=90.00 beta=90.00 gamma=90.00
Last column: nearest neighbours and their distance in Å.
Space group I-42d (No. 122)
Symmetry-distinct sites (fractional):
1 K 0.0503 0.2500 0.1250 x8  2 Ge 3.40
2 Mg 0.0000 0.0000 0.5000 x4  2 Ge 2.51
3 Ge 0.0000 0.0000 0.0000 x4  2 Mg 2.51

This record from the Alexandria database describes an optimized crystal structure of Sm2Dy5HoTm. The functional is PBE.

Results
Energy of formation in eV/atom: 0.287
Density in g/cm³: 8.33

Unit cell a=8.5592 b=8.5592 c=15.7471 alpha=90.00 beta=90.00 gamma=90.00
Last column: nearest neighbours and their distance in Å.
Space group I4/mcm (No. 140)
Symmetry-distinct sites (fractional):
1 Sm 0.1181 0.3819 0.0000 x8  1 Sm 2.86, 2 Dy 3.02
2 Dy 0.0000 0.0000 0.0000 x4  4 Sm 3.42, 8 Dy 3.78
3 Dy 0.2125 0.2875 0.3596 x16  1 Sm 3.02, 1 Tm 3.10
4 Ho 0.0000 0.0000 0.2500 x4  8 Dy 3.51
5 Tm 0.0000 0.5000 0.2500 x4  4 Dy 3.10

This record from the Alexandria database describes an optimized crystal structure of Mn2Ni9Sb. The functional is PBE.

Results
ΔE_f (raw) in eV/atom: -0.11
Density in g/cm³: 8.83

Unit cell a=3.6372 b=3.6372 c=10.8048 alpha=90.00 beta=90.00 gamma=90.00
Last column: nearest neighbours and their distance in Å.
Space group P4/mmm (No. 123)
Symmetry-distinct sites (fractional):
1 Mn 0.0000 0.0000 0.1606 x2  12 Ni 2.51-2.57
2 Ni 0.0000 0.5000 0.0000 x2  4 Mn 2.51, 8 Ni 2.53-2.57
3 Ni 0.0000 0.5000 0.3234 x4  8 Ni 2.51-2.64, 2 Mn 2.53, 2 Sb 2.64
4 Ni 0.5000 0.5000 0.1632 x2  8 Ni 2.51-2.53, 4 Mn 2.57
5 Ni 0.5000 0.5000 0.5000 x1  4 Sb 2.57, 8 Ni 2.64
6 Sb 0.0000 0.0000 0.5000 x1  12 Ni 2.57-2.64

This record from the Alexandria database describes an optimized crystal structure of Mn2TcAu. The functional is PBE.

Results
Energy of formation in eV/atom: 0.211
Density in g/cm³: 11.13

Unit cell a=2.8540 b=2.8540 c=25.6825 alpha=90.00 beta=90.00 gamma=120.00
Last column: nearest neighbours and their distance in Å.
Space group R-3m (No. 166, hexagonal axes)
Symmetry-distinct sites (fractional):
1 Mn 0.0000 0.0000 0.2453 x6  3 Tc 2.61, 3 Au 2.80, 6 Mn 2.85
2 Tc 0.0000 0.0000 0.5000 x3  6 Mn 2.61, 6 Tc 2.85
3 Au 0.0000 0.0000 0.0000 x3  6 Mn 2.80, 6 Au 2.85

This record from the Alexandria database describes an optimized crystal structure of U2BiSb. The functional is PBE.

Results
ΔE_f (raw) in eV/atom: -0.04
Distance to the lowest polymorph of the same formula in meV per atom: 0
Density in g/cm³: 12.44

Unit cell a=3.7618 b=3.7618 c=7.6126 alpha=90.00 beta=90.00 gamma=90.00
Last column: nearest neighbours and their distance in Å.
Space group P4/mmm (No. 123)
Symmetry-distinct sites (fractional):
1 U 0.0000 0.0000 0.2404 x2  4 Sb 3.23, 4 Bi 3.31
2 Bi 0.5000 0.5000 0.5000 x1  8 U 3.31
3 Sb 0.5000 0.5000 0.0000 x1  8 U 3.23

This record from the Alexandria database describes an optimized crystal structure of SmLuPd. The functional is PBE.

Results
Distance to the lowest polymorph of the same formula in meV per atom: 82
Energy of formation in eV/atom: -0.473
Density in g/cm³: 8.67

Unit cell a=6.9159 b=6.9159 c=6.9159 alpha=90.00 beta=90.00 gamma=90.00
Last column: nearest neighbours and their distance in Å.
Space group F-43m (No. 216)
Symmetry-distinct sites (fractional):
1 Sm 0.0000 0.0000 0.0000 x4  4 Pd 2.99
2 Lu 0.0000 0.0000 0.5000 x4  4 Pd 2.99
3 Pd 0.2500 0.2500 0.2500 x4  4 Sm 2.99, 4 Lu 2.99

This record from the Alexandria database describes an optimized crystal structure of CaPm8Er6. The functional is PBE.

Results
Energy of formation in eV/atom: 0.180
Density in g/cm³: 7.43

Unit cell a=9.7142 b=9.7142 c=18.0890 alpha=90.00 beta=90.00 gamma=120.00
Last column: nearest neighbours and their distance in Å.
Space group R-3 (No. 148, hexagonal axes)
Symmetry-distinct sites (fractional):
1 Ca 0.0000 0.0000 0.0000 x3  6 Pm 3.10
2 Pm 0.0000 0.0000 0.2400 x6  6 Pm 3.36-3.62, 6 Er 3.76
3 Pm 0.0462 0.7639 0.9021 x18  1 Ca 3.10, 2 Pm 3.21-3.36, 3 Er 3.39-3.46
4 Er 0.0265 0.7931 0.4102 x18  7 Pm 3.39-3.76, 3 Er 3.69-3.72